Entry 1:
Material: LaCdAs2O8
Method: DFT, PBE-GGA
State: optimized geometry

The formation energy (no corrections) comes out at -1.62 eV/atom. The symmetry is I-4m2, No. 119. For the total magnetization, the calculation gives 1.08 μB per cell. The crystal system is tetragonal.

Unit cell a=6.173 b=6.173 c=6.173 alpha=106.35 beta=106.35 gamma=115.91
Each line ends with the local moment (μB).
Positions (direct):
1 As 0.500 0.500 0.000  -0.02
2 As 0.750 0.250 0.500  -0.01
3 O 0.333 0.152 0.820  0.12
4 O 0.333 0.513 0.180  0.12
5 O 0.848 0.667 0.180  0.12
6 O 0.487 0.667 0.820  0.12
7 O 0.759 0.081 0.678  0.11
8 O 0.403 0.081 0.322  0.11
9 O 0.919 0.241 0.322  0.11
10 O 0.919 0.597 0.678  0.11
11 La 0.000 0.000 0.000  -0.01
12 Cd 0.250 0.750 0.500  0.00

Entry 2:
Material: La2CdAs4Pd3
Method: DFT, PBE-GGA
State: optimized geometry

The symmetry is P-4m2, No. 115. For the total magnetization, the calculation gives 0.00 μB per cell. Its calculated formation energy is -0.8288 eV per atom. The crystal system is tetragonal.

Unit cell a=4.486 b=4.486 c=10.434 alpha=90.00 beta=90.00 gamma=90.00
Positions (direct):
1 As 0.000 0.000 0.000
2 As 0.500 0.000 0.648
3 As 0.500 0.500 0.000
4 As 0.000 0.500 0.352
5 Pd 0.500 0.000 0.886
6 Pd 0.000 0.500 0.114
7 Pd 0.000 0.000 0.500
8 La 0.000 0.500 0.766
9 La 0.500 0.000 0.234
10 Cd 0.500 0.500 0.500

Entry 3:
Material: La2CdAs3Pd4
Method: DFT, PBE-GGA
State: optimized geometry

The symmetry is P-4m2, No. 115. For the total magnetization, the calculation gives 0.00 μB per cell. Its calculated formation energy is -0.8602 eV per atom. The crystal system is tetragonal.

Unit cell a=4.317 b=4.317 c=10.991 alpha=90.00 beta=90.00 gamma=90.00
Positions (direct):
1 As 0.000 0.500 0.131
2 As 0.500 0.000 0.869
3 As 0.000 0.000 0.500
4 La 0.500 0.000 0.231
5 La 0.000 0.500 0.769
6 Cd 0.500 0.500 0.500
7 Pd 0.000 0.500 0.353
8 Pd 0.500 0.500 0.000
9 Pd 0.500 0.000 0.647
10 Pd 0.000 0.000 0.000